Record 1
Below is YInSe2 after structural relaxation, with properties calculated at the PBE-GGA level.

Properties
crystal system: cubic
formation energy without anion corrections: -0.436 eV/atom
density of states at the Fermi level: 4.609 states/eV per cell
uncorrected energy: -4.479 eV/atom

a = 7.319 Å, b = 7.319 Å, c = 7.319 Å
α = 90.00°, β = 90.00°, γ = 90.00°
Space group F-43m (No. 216)
Inequivalent atoms, fractional coordinates:
Y (0.000, 0.000, 0.000)
In (0.250, 0.250, 0.750)
Se (0.000, 0.000, 0.500)
Se (0.250, 0.250, 0.250)

***

Record 2
Below is YBe2Cu after structural relaxation, with properties calculated at the PBE-GGA level.

Properties
energy relative to the lowest polymorph listed for this composition: 218 meV per atom
crystal system: monoclinic
density of states at the Fermi level: 3.104 states/eV per cell
uncorrected energy: -4.404 eV/atom

a = 6.266 Å, b = 6.247 Å, c = 4.059 Å
α = 90.00°, β = 130.11°, γ = 90.00°
Space group C2 (No. 5)
Inequivalent atoms, fractional coordinates:
Y (0.000, 0.000, 0.000)
Be (0.000, 0.516, 0.000)
Be (0.000, 0.694, 0.500)
Cu (0.000, 0.304, 0.500)

***

Record 3
Below is Sm2Ge3Pd5 after structural relaxation, with properties calculated at the PBE-GGA level.

Properties
energy relative to the lowest polymorph listed for this composition: 0 meV per atom
crystal system: orthorhombic
density of states at the Fermi level: 25.485 states/eV per cell
uncorrected energy: -5.706 eV/atom

a = 11.238 Å, b = 11.412 Å, c = 5.899 Å
α = 90.00°, β = 90.00°, γ = 90.00°
Space group Ibam (No. 72)
Inequivalent atoms, fractional coordinates:
Sm (0.224, 0.135, 0.000)
Ge (0.000, 0.500, 0.250)
Ge (0.119, 0.137, 0.500)
Pd (0.000, 0.000, 0.250)
Pd (0.000, 0.269, 0.250)
Pd (0.165, 0.403, 0.000)

***

Record 4
Below is Li3Zn4Cu2 after structural relaxation, with properties calculated at the PBE-GGA level.

Properties
crystal system: monoclinic
density of states at the Fermi level: 7.269 states/eV per cell
uncorrected energy: -2.292 eV/atom

a = 7.351 Å, b = 4.231 Å, c = 7.845 Å
α = 90.00°, β = 90.19°, γ = 90.00°
Space group C2/m (No. 12)
Inequivalent atoms, fractional coordinates:
Li (0.000, 0.000, 0.000)
Li (0.167, 0.500, 0.550)
Zn (0.000, 0.000, 0.331)
Zn (0.167, 0.500, 0.880)
Cu (0.166, 0.500, 0.212)

***

Record 5
Below is RbTaFeGeTe after structural relaxation, with properties calculated at the PBE-GGA level.

Properties
energy relative to the lowest polymorph listed for this composition: 315 meV per atom
crystal system: monoclinic
formation energy without anion corrections: 0.024 eV/atom
density of states at the Fermi level: 5.733 states/eV per cell
uncorrected energy: -5.785 eV/atom

a = 17.601 Å, b = 4.139 Å, c = 3.471 Å
α = 90.00°, β = 101.21°, γ = 90.00°
Space group Cm (No. 8)
Inequivalent atoms, fractional coordinates:
Rb (0.000, 0.000, 0.000)
Ta (0.207, 0.000, 0.713)
Fe (0.290, 0.500, 0.794)
Ge (0.175, 0.500, 0.181)
Te (0.342, 0.000, 0.346)

***

Record 6
Below is Mg5Al after structural relaxation, with properties calculated at the PBE-GGA level.

Properties
crystal system: orthorhombic
density of states at the Fermi level: 4.220 states/eV per cell
uncorrected energy: -1.917 eV/atom

a = 4.831 Å, b = 11.139 Å, c = 4.840 Å
α = 90.00°, β = 90.00°, γ = 90.00°
Space group Cmmm (No. 65)
Inequivalent atoms, fractional coordinates:
Mg (0.000, 0.000, 0.000)
Mg (0.000, 0.161, 0.500)
Mg (0.000, 0.337, 0.000)
Al (0.000, 0.500, 0.500)

***

Record 7
Below is As2Br2N after structural relaxation, with properties calculated at the PBE-GGA level.

Properties
energy relative to the lowest polymorph listed for this composition: 0 meV per atom
crystal system: tetragonal
formation energy without anion corrections: 1.148 eV/atom
density of states at the Fermi level: 0.187 states/eV per cell
uncorrected energy: -3.046 eV/atom

a = 3.816 Å, b = 3.816 Å, c = 18.402 Å
α = 90.00°, β = 90.00°, γ = 90.00°
Space group I4/mmm (No. 139)
Inequivalent atoms, fractional coordinates:
As (0.000, 0.500, 0.250)
Br (0.000, 0.000, 0.122)
N (0.000, 0.000, 0.500)

***

Record 8
Below is PaPF3 after structural relaxation, with properties calculated at the PBE-GGA level.

Properties
crystal system: triclinic
formation energy without anion corrections: -2.545 eV/atom
density of states at the Fermi level: 0.312 states/eV per cell
uncorrected energy: -6.648 eV/atom

a = 5.262 Å, b = 5.688 Å, c = 6.495 Å
α = 76.25°, β = 88.17°, γ = 88.53°
Space group P1 (No. 1)
Inequivalent atoms, fractional coordinates:
Pa (0.000, 0.000, 0.000)
Pa (0.309, 0.526, 0.519)
P (0.509, 0.790, 0.111)
P (0.807, 0.298, 0.619)
F (0.017, 0.805, 0.351)
F (0.038, 0.747, 0.807)
F (0.289, 0.292, 0.859)
F (0.306, 0.266, 0.344)
F (0.502, 0.795, 0.606)
F (0.838, 0.274, 0.119)